Record 1
DFT (GGA-PBE) results for NiSb3Pb after structural relaxation.

a b c (Å): 5.730 5.730 5.730
angles (deg): 90.00 90.00 90.00
Positions (direct):
1 Ni 0.000 0.000 0.000
2 Sb 0.000 0.500 0.500
3 Sb 0.500 0.000 0.500
4 Sb 0.500 0.500 0.000
5 Pb 0.500 0.500 0.500

## Properties
M_tot = 0.00 μB per formula unit
E_tot = -2.859 eV/atom
ρ = 5.571 g cm⁻³
E_form (uncorrected) = 1512 meV per atom
energy relative to the lowest polymorph listed for this composition = 1287 meV per atom

=====

Record 2
DFT (GGA-PBE) results for La2Ga9Pd6 after structural relaxation.

a b c (Å): 5.482 5.482 12.762
angles (deg): 90.00 90.00 120.00
Positions (direct):
1 La 0.000 0.000 0.161
2 La 0.000 0.000 0.839
3 Ga 0.000 0.500 0.000
4 Ga 0.000 0.500 0.340
5 Ga 0.000 0.500 0.660
6 Ga 0.500 0.000 0.000
7 Ga 0.500 0.000 0.340
8 Ga 0.500 0.000 0.660
9 Ga 0.500 0.500 0.000
10 Ga 0.500 0.500 0.340
11 Ga 0.500 0.500 0.660
12 Pd 0.333 0.667 0.173
13 Pd 0.333 0.667 0.500
14 Pd 0.333 0.667 0.827
15 Pd 0.667 0.333 0.173
16 Pd 0.667 0.333 0.500
17 Pd 0.667 0.333 0.827

## Properties
M_tot = 0.00 μB per formula unit
E_tot = -4.588 eV/atom
ρ = 7.719 g cm⁻³
formation energy = -0.573 eV/atom

=====

Record 3
DFT (GGA-PBE) results for KBaTlCl6 after structural relaxation.

a b c (Å): 7.598 7.598 12.776
angles (deg): 90.00 90.00 120.00
Positions (direct):
1 K 0.000 0.000 0.000
2 K 0.000 0.000 0.500
3 Ba 0.333 0.667 0.250
4 Ba 0.667 0.333 0.750
5 Tl 0.333 0.667 0.750
6 Tl 0.667 0.333 0.250
7 Cl 0.046 0.383 0.631
8 Cl 0.046 0.662 0.869
9 Cl 0.338 0.383 0.869
10 Cl 0.338 0.954 0.631
11 Cl 0.383 0.046 0.131
12 Cl 0.383 0.338 0.369
13 Cl 0.617 0.662 0.631
14 Cl 0.617 0.954 0.869
15 Cl 0.662 0.046 0.369
16 Cl 0.662 0.617 0.131
17 Cl 0.954 0.338 0.131
18 Cl 0.954 0.617 0.369

## Properties
M_tot = 0.00 μB per formula unit
E_tot = -3.400 eV/atom
ρ = 3.086 g cm⁻³
E_form (uncorrected) = -1571 meV per atom

=====

Record 4
DFT (GGA-PBE) results for FeHg2Os2 after structural relaxation.

a b c (Å): 3.825 3.825 13.240
angles (deg): 90.00 90.00 90.00
Positions (direct):
1 Fe 0.000 0.000 0.000
2 Fe 0.500 0.500 0.500
3 Hg 0.000 0.500 0.250
4 Hg 0.000 0.500 0.750
5 Hg 0.500 0.000 0.250
6 Hg 0.500 0.000 0.750
7 Os 0.000 0.000 0.413
8 Os 0.000 0.000 0.587
9 Os 0.500 0.500 0.087
10 Os 0.500 0.500 0.913

## Properties
M_tot = 3.93 μB per formula unit
E_tot = -4.918 eV/atom
ρ = 14.356 g cm⁻³
formation energy = 1.387 eV/atom
energy relative to the lowest polymorph listed for this composition = 583 meV per atom

=====

Record 5
DFT (GGA-PBE) results for KNbBr6 after structural relaxation.

a b c (Å): 9.012 10.135 8.311
angles (deg): 90.00 121.74 90.00
Positions (direct):
1 K 0.000 0.000 0.000
2 K 0.500 0.500 0.000
3 Nb 0.000 0.500 0.500
4 Nb 0.500 0.000 0.500
5 Br 0.120 0.321 0.756
6 Br 0.120 0.679 0.756
7 Br 0.215 0.000 0.492
8 Br 0.285 0.500 0.508
9 Br 0.380 0.179 0.244
10 Br 0.380 0.821 0.244
11 Br 0.620 0.179 0.756
12 Br 0.620 0.821 0.756
13 Br 0.715 0.500 0.492
14 Br 0.785 0.000 0.508
15 Br 0.880 0.321 0.244
16 Br 0.880 0.679 0.244

## Properties
M_tot = 0.00 μB per formula unit
E_tot = -3.716 eV/atom
ρ = 3.145 g cm⁻³
E_form (uncorrected) = -1065 meV per atom

=====

Record 6
DFT (GGA-PBE) results for Ta3Nb8Ga after structural relaxation.

a b c (Å): 7.180 7.180 7.180
angles (deg): 135.06 98.69 98.11
Positions (direct):
1 Ta 0.000 0.000 0.000
2 Ta 0.158 0.500 0.658
3 Ta 0.842 0.500 0.342
4 Nb 0.080 0.834 0.246
5 Nb 0.258 0.007 0.748
6 Nb 0.258 0.510 0.252
7 Nb 0.412 0.166 0.246
8 Nb 0.588 0.834 0.754
9 Nb 0.742 0.490 0.748
10 Nb 0.742 0.993 0.252
11 Nb 0.920 0.166 0.754
12 Ga 0.500 0.000 0.500

## Properties
M_tot = 0.00 μB per formula unit
E_tot = -9.584 eV/atom
ρ = 9.320 g cm⁻³
formation energy = 0.345 eV/atom

=====

Record 7
DFT (GGA-PBE) results for CeBi7Pd4 after structural relaxation.

a b c (Å): 7.477 7.477 9.098
angles (deg): 120.27 120.27 48.09
Positions (direct):
1 Ce 0.000 0.000 0.000
2 Bi 0.058 0.058 0.399
3 Bi 0.252 0.252 0.967
4 Bi 0.294 0.294 0.370
5 Bi 0.500 0.500 0.000
6 Bi 0.706 0.706 0.630
7 Bi 0.748 0.748 0.033
8 Bi 0.942 0.942 0.601
9 Pd 0.286 0.286 0.686
10 Pd 0.487 0.487 0.309
11 Pd 0.513 0.513 0.691
12 Pd 0.714 0.714 0.314

## Properties
M_tot = 0.65 μB per formula unit
E_tot = -4.653 eV/atom
ρ = 10.673 g cm⁻³
formation energy = -0.163 eV/atom

=====

Record 8
DFT (GGA-PBE) results for KAc2Se3 after structural relaxation.

a b c (Å): 4.501 6.362 13.726
angles (deg): 90.00 90.00 90.00
Positions (direct):
1 K 0.000 0.000 0.000
2 K 0.500 0.500 0.500
3 Ac 0.000 0.000 0.338
4 Ac 0.000 0.000 0.662
5 Ac 0.500 0.500 0.162
6 Ac 0.500 0.500 0.838
7 Se 0.000 0.500 0.000
8 Se 0.000 0.500 0.323
9 Se 0.000 0.500 0.677
10 Se 0.500 0.000 0.177
11 Se 0.500 0.000 0.500
12 Se 0.500 0.000 0.823

## Properties
M_tot = 0.00 μB per formula unit
E_tot = -5.091 eV/atom
ρ = 6.168 g cm⁻³
E_form (uncorrected) = -1796 meV per atom
energy relative to the lowest polymorph listed for this composition = 19 meV per atom

=====

Record 9
DFT (GGA-PBE) results for Rb4Pu3TiO8 after structural relaxation.

a b c (Å): 7.679 7.679 7.679
angles (deg): 53.99 53.99 53.99
Positions (direct):
1 Rb 0.000 0.000 0.000
2 Rb 0.000 0.500 0.500
3 Rb 0.500 0.000 0.500
4 Rb 0.500 0.500 0.000
5 Pu 0.000 0.000 0.500
6 Pu 0.000 0.500 0.000
7 Pu 0.500 0.000 0.000
8 Ti 0.500 0.500 0.500
9 O 0.227 0.227 0.227
10 O 0.248 0.712 0.712
11 O 0.288 0.288 0.752
12 O 0.288 0.752 0.288
13 O 0.712 0.248 0.712
14 O 0.712 0.712 0.248
15 O 0.752 0.288 0.288
16 O 0.773 0.773 0.773

## Properties
M_tot = 16.00 μB per formula unit
E_tot = -8.171 eV/atom
ρ = 7.540 g cm⁻³
E_form (uncorrected) = -2269 meV per atom

=====

Record 10
DFT (GGA-PBE) results for Cr2SiBr after structural relaxation.

a b c (Å): 6.474 6.474 6.474
angles (deg): 90.00 90.00 90.00
Positions (direct):
1 Cr 0.000 0.000 0.000
2 Cr 0.000 0.500 0.500
3 Cr 0.250 0.250 0.250
4 Cr 0.250 0.750 0.750
5 Cr 0.500 0.000 0.500
6 Cr 0.500 0.500 0.000
7 Cr 0.750 0.250 0.750
8 Cr 0.750 0.750 0.250
9 Si 0.250 0.250 0.750
10 Si 0.250 0.750 0.250
11 Si 0.750 0.250 0.250
12 Si 0.750 0.750 0.750
13 Br 0.000 0.000 0.500
14 Br 0.000 0.500 0.000
15 Br 0.500 0.000 0.000
16 Br 0.500 0.500 0.500

## Properties
M_tot = 0.53 μB per formula unit
E_tot = -5.735 eV/atom
ρ = 5.188 g cm⁻³
E_form (uncorrected) = 850 meV per atom
energy relative to the lowest polymorph listed for this composition = 703 meV per atom

=====

Record 11
DFT (GGA-PBE) results for FeH2Se after structural relaxation.

a b c (Å): 5.305 5.305 5.305
angles (deg): 90.00 90.00 90.00
Positions (direct):
1 Fe 0.000 0.000 0.000
2 Fe 0.000 0.500 0.500
3 Fe 0.500 0.000 0.500
4 Fe 0.500 0.500 0.000
5 H 0.250 0.250 0.250
6 H 0.250 0.250 0.750
7 H 0.250 0.750 0.250
8 H 0.250 0.750 0.750
9 H 0.750 0.250 0.250
10 H 0.750 0.250 0.750
11 H 0.750 0.750 0.250
12 H 0.750 0.750 0.750
13 Se 0.000 0.000 0.500
14 Se 0.000 0.500 0.000
15 Se 0.500 0.000 0.000
16 Se 0.500 0.500 0.500

## Properties
M_tot = 2.22 μB per formula unit
E_tot = -3.750 eV/atom
ρ = 6.087 g cm⁻³
energy relative to the lowest polymorph listed for this composition = 422 meV per atom

=====

Record 12
DFT (GGA-PBE) results for NaPuCl4 after structural relaxation.

a b c (Å): 6.693 6.693 6.891
angles (deg): 90.00 90.41 90.00
Positions (direct):
1 Na 0.000 0.000 0.000
2 Na 0.500 0.500 0.000
3 Pu 0.000 0.500 0.500
4 Pu 0.500 0.000 0.500
5 Cl 0.248 0.250 0.264
6 Cl 0.248 0.750 0.264
7 Cl 0.252 0.250 0.736
8 Cl 0.252 0.750 0.736
9 Cl 0.748 0.250 0.264
10 Cl 0.748 0.750 0.264
11 Cl 0.752 0.250 0.736
12 Cl 0.752 0.750 0.736

## Properties
M_tot = 5.00 μB per formula unit
E_tot = -5.694 eV/atom
ρ = 4.398 g cm⁻³
E_form (uncorrected) = -1855 meV per atom
energy relative to the lowest polymorph listed for this composition = 0 meV per atom

=====

Record 13
DFT (GGA-PBE) results for LaPrInGe after structural relaxation.

a b c (Å): 7.675 7.675 7.675
angles (deg): 90.00 90.00 90.00
Positions (direct):
1 La 0.000 0.000 0.000
2 La 0.000 0.500 0.500
3 La 0.500 0.000 0.500
4 La 0.500 0.500 0.000
5 Pr 0.000 0.000 0.500
6 Pr 0.000 0.500 0.000
7 Pr 0.500 0.000 0.000
8 Pr 0.500 0.500 0.500
9 In 0.250 0.250 0.250
10 In 0.250 0.750 0.750
11 In 0.750 0.250 0.750
12 In 0.750 0.750 0.250
13 Ge 0.250 0.250 0.750
14 Ge 0.250 0.750 0.250
15 Ge 0.750 0.250 0.250
16 Ge 0.750 0.750 0.750

## Properties
M_tot = 0.00 μB per formula unit
E_tot = -4.783 eV/atom
ρ = 6.865 g cm⁻³
formation energy = -0.517 eV/atom

=====

Record 14
DFT (GGA-PBE) results for AlZnGa2S6 after structural relaxation.

a b c (Å): 9.113 9.113 6.419
angles (deg): 109.86 109.86 91.66
Positions (direct):
1 Al 0.176 0.824 0.750
2 Al 0.824 0.176 0.250
3 Zn 0.181 0.819 0.250
4 Zn 0.819 0.181 0.750
5 Ga 0.224 0.399 0.757
6 Ga 0.399 0.224 0.257
7 Ga 0.601 0.776 0.743
8 Ga 0.776 0.601 0.243
9 S 0.025 0.188 0.593
10 S 0.115 0.627 0.867
11 S 0.188 0.025 0.093
12 S 0.344 0.441 0.518
13 S 0.373 0.885 0.633
14 S 0.441 0.344 0.018
15 S 0.559 0.656 0.982
16 S 0.627 0.115 0.367
17 S 0.656 0.559 0.482
18 S 0.812 0.975 0.907
19 S 0.885 0.373 0.133
20 S 0.975 0.812 0.407

## Properties
M_tot = 0.00 μB per formula unit
E_tot = -4.182 eV/atom
ρ = 3.029 g cm⁻³
E_form (uncorrected) = -598 meV per atom

=====

Record 15
DFT (GGA-PBE) results for La5TbTe6 after structural relaxation.

a b c (Å): 7.879 7.879 7.884
angles (deg): 99.60 99.60 120.21
Positions (direct):
1 La 0.000 0.000 0.000
2 La 0.166 0.834 0.500
3 La 0.328 0.672 0.000
4 La 0.672 0.328 0.000
5 La 0.834 0.166 0.500
6 Tb 0.500 0.500 0.500
7 Te 0.095 0.420 0.257
8 Te 0.259 0.259 0.749
9 Te 0.420 0.095 0.257
10 Te 0.580 0.905 0.743
11 Te 0.741 0.741 0.251
12 Te 0.905 0.580 0.743

## Properties
M_tot = 0.00 μB per formula unit
E_tot = -5.559 eV/atom
ρ = 6.745 g cm⁻³
E_form (uncorrected) = -1549 meV per atom